Record 1
DFT (PBEsol) results for Hf2MnCl after structural relaxation.

Cell lengths 4.5668, 4.5668, 4.5668 Å; angles 60.00, 60.00, 60.00 degrees
Positions (direct):
Hf  0.2500  0.2500  0.2500
Hf  0.7500  0.7500  0.7500
Mn  0.0000  0.0000  0.0000
Cl  0.5000  0.5000  0.5000

- Calculated volume: 67.3 Å³ per cell
- Symmetry: No. 225
- Formation energy from raw total energies: 0.1846 eV per atom



Record 2
DFT (PBEsol) results for HfMoS2Cl after structural relaxation.

Cell lengths 4.8916, 4.8916, 4.8070 Å; angles 90.00, 90.00, 90.00 degrees
Positions (direct):
Hf  0.0000  0.0000  0.0000
Mo  0.5000  0.5000  0.5000
S  0.0000  0.5000  0.0000
S  0.5000  0.0000  0.0000
Cl  0.0000  0.0000  0.5000

- Calculated volume: 115.0 Å³ per cell
- Symmetry: No. 123
- Formation energy from raw total energies: -0.0235 eV per atom



Record 3
DFT (PBEsol) results for Hf2MoWCl after structural relaxation.

Cell lengths 4.6248, 4.6248, 4.3124 Å; angles 90.00, 90.00, 90.00 degrees
Positions (direct):
Hf  0.0000  0.5000  0.0000
Hf  0.5000  0.0000  0.0000
Mo  0.0000  0.0000  0.5000
W  0.5000  0.5000  0.5000
Cl  0.5000  0.5000  0.0000

- Calculated volume: 92.2 Å³ per cell
- Symmetry: No. 123
- Formation energy from raw total energies: 0.7816 eV per atom



Record 4
DFT (PBEsol) results for HfNCl after structural relaxation.

Cell lengths 9.8194, 9.8194, 9.8194 Å; angles 20.82, 20.82, 20.82 degrees
Positions (direct):
Hf  0.1218  0.1218  0.1218
Hf  0.8782  0.8782  0.8782
N  0.1962  0.1962  0.1962
N  0.8038  0.8038  0.8038
Cl  0.3932  0.3932  0.3932
Cl  0.6068  0.6068  0.6068

- Calculated volume: 104.8 Å³ per cell
- Symmetry: No. 166
- Formation energy from raw total energies: -1.9805 eV per atom



Record 5
DFT (PBEsol) results for NaHf8N8Cl8 after structural relaxation.

Cell lengths 6.1653, 3.5850, 19.7219 Å; angles 90.00, 95.70, 90.00 degrees
Positions (direct):
Na  0.0000  0.0000  0.0000
Hf  0.1017  0.5000  0.8070
Hf  0.1057  0.0000  0.3207
Hf  0.3932  0.5000  0.6788
Hf  0.4010  0.0000  0.1942
Hf  0.5990  0.0000  0.8058
Hf  0.6068  0.5000  0.3212
Hf  0.8943  0.0000  0.6793
Hf  0.8983  0.5000  0.1930
N  0.0661  0.5000  0.7005
N  0.0717  0.0000  0.2103
N  0.4306  0.5000  0.7890
N  0.4340  0.0000  0.3002
N  0.5660  0.0000  0.6998
N  0.5694  0.5000  0.2110
N  0.9283  0.0000  0.7897
N  0.9339  0.5000  0.2995
Cl  0.1967  0.0000  0.5883
Cl  0.1983  0.5000  0.0925
Cl  0.2998  0.0000  0.9041
Cl  0.3025  0.5000  0.4117
Cl  0.6975  0.5000  0.5883
Cl  0.7002  0.0000  0.0959
Cl  0.8017  0.5000  0.9075
Cl  0.8033  0.0000  0.4117

- Calculated volume: 433.8 Å³ per cell
- Symmetry: No. 10
- Formation energy from raw total energies: -1.9230 eV per atom



Record 6
DFT (PBEsol) results for NaHf6N6Cl6 after structural relaxation.

Cell lengths 6.1971, 6.1971, 10.2346 Å; angles 95.79, 95.79, 120.00 degrees
Positions (direct):
Na  0.0000  0.0000  0.0000
Hf  0.1256  0.4585  0.3769
Hf  0.2074  0.2074  0.6236
Hf  0.4585  0.1256  0.3769
Hf  0.5415  0.8744  0.6231
Hf  0.7926  0.7926  0.3764
Hf  0.8744  0.5415  0.6231
N  0.1376  0.1376  0.4126
N  0.1961  0.5295  0.5883
N  0.4705  0.8039  0.4117
N  0.5295  0.1961  0.5883
N  0.8039  0.4705  0.4117
N  0.8624  0.8624  0.5874
Cl  0.0630  0.7311  0.1889
Cl  0.2689  0.9370  0.8111
Cl  0.3948  0.3948  0.1890
Cl  0.6052  0.6052  0.8110
Cl  0.7311  0.0630  0.1889
Cl  0.9370  0.2689  0.8111

- Calculated volume: 333.4 Å³ per cell
- Symmetry: No. 12
- Formation energy from raw total energies: -1.9142 eV per atom



Record 7
DFT (PBEsol) results for NaHfCl2 after structural relaxation.

Cell lengths 6.2019, 6.2019, 6.2019 Å; angles 110.75, 110.75, 106.95 degrees
Positions (direct):
Na  0.0000  0.0000  0.0000
Na  0.7500  0.2500  0.5000
Hf  0.2500  0.7500  0.5000
Hf  0.5000  0.5000  0.0000
Cl  0.1496  0.1250  0.5246
Cl  0.3750  0.8504  0.9754
Cl  0.6004  0.6250  0.4754
Cl  0.8750  0.3996  0.0246

- Calculated volume: 183.4 Å³ per cell
- Symmetry: No. 122
- Energy relative to the lowest polymorph listed for this composition: 12.35 kcal/mol of atoms
- Formation energy from raw total energies: -0.5231 eV per atom



Record 8
DFT (PBEsol) results for NaHfCl2 after structural relaxation.

Cell lengths 10.2277, 10.2277, 10.2277 Å; angles 18.25, 18.25, 18.25 degrees
Positions (direct):
Na  0.0000  0.0000  0.0000
Hf  0.5000  0.5000  0.5000
Cl  0.1070  0.1070  0.1070
Cl  0.8930  0.8930  0.8930

- Calculated volume: 91.6 Å³ per cell
- Symmetry: No. 166
- Energy relative to the lowest polymorph listed for this composition: 0.00 kcal/mol of atoms
- Formation energy from raw total energies: -1.0586 eV per atom



calculated volume of number 6 (NaHf6N6Cl6)? 333.4 Å³ per cell



Repeat the second record exactly.
DFT (PBEsol) results for HfMoS2Cl after structural relaxation.

Cell lengths 4.8916, 4.8916, 4.8070 Å; angles 90.00, 90.00, 90.00 degrees
Positions (direct):
Hf  0.0000  0.0000  0.0000
Mo  0.5000  0.5000  0.5000
S  0.0000  0.5000  0.0000
S  0.5000  0.0000  0.0000
Cl  0.0000  0.0000  0.5000

- Calculated volume: 115.0 Å³ per cell
- Symmetry: No. 123
- Formation energy from raw total energies: -0.0235 eV per atom